# 1
This record from the Alexandria database describes Pr6Rh2AuSe3 after structural relaxation. The functional is GGA-PBE.

**Formation energy from raw total energies**: -1208.0 meV/atom
**Total magnetic moment**: 0.000 μB/f.u.
**Density of states at the Fermi level**: 0.666 states/eV per atom
**Total DFT energy (no corrections)**: -5.9672 eV/atom

Lattice parameters (Å, degrees): 7.235 7.235 7.760 98.96 98.96 120.03
Fractional positions:
Pr1 0.922 0.570 0.766
Pr2 0.430 0.078 0.234
Pr3 0.725 0.725 0.232
Pr4 0.275 0.275 0.768
Pr5 0.078 0.430 0.234
Pr6 0.570 0.922 0.766
Se1 0.500 0.500 0.500
Se2 0.838 0.162 0.500
Se3 0.162 0.838 0.500
Rh1 0.667 0.333 0.000
Rh2 0.333 0.667 0.000
Au1 0.000 0.000 0.000

# 2
This record from the Alexandria database describes PrSnRhAu after structural relaxation. The functional is GGA-PBE.

**ΔH_f (0 K)**: -0.5343 eV per atom
**Total magnetic moment**: 0.000 μB/f.u.
**Density of states at the Fermi level**: 0.613 states/eV per atom
**Total DFT energy (no corrections)**: -5.3871 eV/atom

Lattice parameters (Å, degrees): 4.964 4.964 4.964 60.00 60.00 60.00
Fractional positions:
Au1 0.250 0.250 0.250
Sn1 0.000 0.000 0.000
Rh1 0.750 0.750 0.750
Pr1 0.500 0.500 0.500

# 3
This record from the Alexandria database describes Pr2Sn4Rh3Au after structural relaxation. The functional is GGA-PBE.

**ΔH_f (0 K)**: -0.6679 eV per atom
**Total magnetic moment**: 0.000 μB/f.u.
**Density of states at the Fermi level**: 0.677 states/eV per atom
**Total DFT energy (no corrections)**: -5.7581 eV/atom

Lattice parameters (Å, degrees): 4.569 4.569 10.796 90.00 90.00 90.00
Fractional positions:
Sn1 0.000 0.000 0.000
Sn2 0.000 0.500 0.364
Sn3 0.500 0.500 0.000
Sn4 0.500 0.000 0.636
Rh1 0.000 0.500 0.126
Rh2 0.500 0.000 0.874
Rh3 0.000 0.000 0.500
Pr1 0.000 0.500 0.754
Pr2 0.500 0.000 0.246
Au1 0.500 0.500 0.500

# 4
This record from the Alexandria database describes SrPrRhAu after structural relaxation. The functional is GGA-PBE.

**ΔH_f (0 K)**: -0.6141 eV per atom
**Total magnetic moment**: 0.000 μB/f.u.
**Density of states at the Fermi level**: 0.693 states/eV per atom
**E above lowest polymorph**: 0.000 eV per atom
**Total DFT energy (no corrections)**: -4.8867 eV/atom

Lattice parameters (Å, degrees): 4.110 4.379 6.205 90.00 109.34 90.00
Fractional positions:
Rh1 0.413 0.000 0.826
Pr1 0.864 0.500 0.729
Sr1 0.146 0.000 0.292
Au1 0.576 0.500 0.153

- Which of these has the lowest density of states at the Fermi level?
  PrSnRhAu

- The lowest total DFT energy (no corrections) belongs to which entry?
  Pr6Rh2AuSe3